First-principles (PBE-GGA) data for a geometry-optimized GePd17 structure, as listed in OQMD via LeMat-Bulk.

Cell lengths 4.783, 5.553, 33.780 Å; angles 90.00, 90.13, 90.00 degrees
Atoms (fractional coordinates):
Pd 0.500 0.000 0.000
Pd 0.833 0.000 0.932
Pd 0.667 0.250 0.068
Ge 0.333 0.250 0.733
Pd 0.003 0.250 0.795
Pd 0.832 0.500 0.137
Pd 0.500 0.000 0.794
Pd 0.332 0.750 0.726
Pd 0.500 0.500 0.794
Pd 0.668 0.250 0.274
Pd 0.997 0.750 0.205
Pd 0.002 0.250 0.205
Pd 0.333 0.250 0.932
Pd 0.334 0.750 0.137
Pd 0.667 0.750 0.068
Pd 0.168 0.500 0.863
Pd 0.166 0.503 0.274
Pd 0.834 0.497 0.726
Pd 0.998 0.750 0.795
Pd 0.166 0.997 0.274
Ge 0.667 0.750 0.267
Pd 0.666 0.250 0.863
Pd 0.999 0.250 0.000
Pd 0.167 0.000 0.068
Pd 0.333 0.750 0.932
Pd 0.500 0.500 0.206
Pd 0.832 0.000 0.137
Pd 0.500 0.000 0.206
Pd 0.834 0.003 0.726
Pd 0.167 0.500 0.068
Pd 0.001 0.750 0.000
Pd 0.500 0.500 0.000
Pd 0.668 0.750 0.864
Pd 0.833 0.500 0.932
Pd 0.332 0.250 0.136
Pd 0.168 0.000 0.863

First-principles (PBE-GGA) data for a geometry-optimized GePd15 structure, as listed in OQMD via LeMat-Bulk.

Output
Distance to the lowest polymorph of the same formula ... 0 meV per atom

Cell lengths 3.921, 3.919, 45.414 Å; angles 90.00, 90.00, 90.00 degrees
Atoms (fractional coordinates):
Pd 0.250 0.500 0.566
Pd 0.250 0.000 0.610
Pd 0.750 0.500 0.522
Pd 0.250 0.500 0.302
Pd 0.250 0.500 0.743
Pd 0.750 0.500 0.167
Pd 0.250 0.500 0.390
Pd 0.750 0.000 0.390
Pd 0.250 0.000 0.258
Pd 0.250 0.500 0.654
Pd 0.750 0.500 0.257
Pd 0.250 0.000 0.788
Pd 0.250 0.000 0.522
Pd 0.750 0.500 0.346
Pd 0.750 0.000 0.302
Pd 0.250 0.500 0.478
Pd 0.750 0.500 0.698
Pd 0.250 0.500 0.212
Pd 0.750 0.500 0.434
Pd 0.750 0.500 0.788
Pd 0.750 0.500 0.610
Pd 0.250 0.000 0.434
Ge 0.750 0.000 0.825
Pd 0.750 0.000 0.566
Ge 0.250 0.000 0.175
Pd 0.750 0.000 0.654
Pd 0.750 0.000 0.212
Pd 0.750 0.000 0.478
Pd 0.250 0.000 0.346
Pd 0.250 0.500 0.833
Pd 0.250 0.000 0.698
Pd 0.750 0.000 0.742

no.,energy (Ry per atom)
1,-0.3776
2,-0.3805